[1]
A relaxed structure of RbTiBi2, computed with PBE-GGA.

**Raw total energy**: -3.85 eV/atom
**Formation enthalpy at 0 K**: 306.0 meV/atom
**Offset from the most stable computed form**: 1.770 eV/f.u.
**Total moment**: 0.00 μB/f.u.

Cell lengths 7.783, 7.783, 7.783 Å; angles 90.00, 90.00, 90.00 degrees
Space group Fm-3m (No. 225)
Unique sites:
Rb 0.000 0.000 0.000 [4 per cell]
Ti 0.000 0.000 0.500 [4 per cell]
Bi 0.250 0.250 0.250 [8 per cell]


[2]
A relaxed structure of RbSrSe2, computed with PBE-GGA.

**Raw total energy**: -3.66 eV/atom
**Energy relative to the elements, uncorrected**: -1.2547 eV/atom
**Total moment**: 0.00 μB/f.u.

Cell lengths 4.5344, 4.5344, 24.5398 Å; angles 90.00, 90.00, 120.00 degrees
Space group R3m (No. 160, hexagonal axes)
Unique sites:
Rb 0.0000 0.0000 0.0000 [3 per cell]
Sr 0.0000 0.0000 0.1703 [3 per cell]
Se 0.0000 0.0000 0.5721 [3 per cell]
Se 0.0000 0.0000 0.7665 [3 per cell]


[3]
A relaxed structure of Th2SeCl6, computed with PBE-GGA.

**Raw total energy**: -5.13 eV/atom
**Energy relative to the elements, uncorrected**: -1.8637 eV/atom
**Total moment**: 0.00 μB/f.u.

Cell lengths 15.637, 3.655, 13.615 Å; angles 90.00, 123.80, 90.00 degrees
Space group C2/m (No. 12)
Unique sites:
Th 0.050 0.000 0.204 [4 per cell]
Se 0.000 0.500 0.000 [2 per cell]
Cl 0.095 0.500 0.388 [4 per cell]
Cl 0.112 0.500 0.857 [4 per cell]
Cl 0.212 0.500 0.264 [4 per cell]


[4]
A relaxed structure of SrCdIO2, computed with PBE-GGA.

**Raw total energy**: -3.38 eV/atom
**Offset from the most stable computed form**: 0.918 eV/f.u.
**Energy relative to the elements, uncorrected**: -0.5717 eV/atom
**Total moment**: 1.82 μB/f.u.

Cell lengths 4.601, 4.601, 6.932 Å; angles 90.00, 90.00, 90.00 degrees
Space group P4/mmm (No. 123)
Unique sites:
Sr 0.000 0.000 0.000 [1 per cell]
Cd 0.500 0.500 0.500 [1 per cell]
I 0.000 0.000 0.500 [1 per cell]
O 0.000 0.500 0.000 [2 per cell]